Version w
Here is an optimized crystal structure of NaMnO2 from Alexandria. Energies are from PBE with a Hubbard U.

Cell lengths 2.894, 5.693, 11.419 Å; angles 90.00, 90.00, 90.00 degrees
Sites, in units of the cell vectors:
1 O 0.750 0.715 0.552
2 Na 0.250 0.033 0.623
3 Na 0.750 0.533 0.877
4 O 0.250 0.285 0.448
5 Na 0.250 0.467 0.123
6 Mn 0.250 0.527 0.622
7 O 0.750 0.153 0.193
8 O 0.250 0.215 0.948
9 O 0.750 0.347 0.693
10 O 0.750 0.785 0.052
11 O 0.250 0.653 0.307
12 Mn 0.750 0.473 0.378
13 Mn 0.750 0.027 0.878
14 O 0.250 0.847 0.807
15 Na 0.750 0.967 0.377
16 Mn 0.250 0.973 0.122

Output
space-group type: Pnma, No. 62


Version x
Here is an optimized crystal structure of NaMnO2 from Alexandria. Energies are from PBE with a Hubbard U.

Cell lengths 2.946, 2.946, 5.752 Å; angles 75.16, 75.16, 60.00 degrees
Sites, in units of the cell vectors:
1 Na 0.497 0.497 0.508
2 O 0.269 0.269 0.193
3 Mn 0.668 0.668 0.997
4 O 0.066 0.066 0.802

Output
space-group type: R3m, No. 160


Version y
Here is an optimized crystal structure of NaMnO2 from Alexandria. Energies are from PBE with a Hubbard U.

Cell lengths 2.924, 3.232, 5.620 Å; angles 77.85, 74.92, 63.10 degrees
Sites, in units of the cell vectors:
1 Mn 0.000 0.000 0.000
2 O 0.294 0.205 0.206
3 Na 0.500 0.500 0.500
4 O 0.706 0.795 0.794

Output
space-group type: C2/m, No. 12


Which of them is the most stable? Correct choice: version y.